Density functional theory data (SCAN) for a crystal of MnWI2N relaxed with PBEsol.

Output
E_form (uncorrected) in eV per formula unit: 5.974
Magnetization in μB per formula unit: 1.9

The structure in extended XYZ format:
```
5
Lattice="3.417 0.000 0.000 0.000 5.171 0.000 0.000 0.000 5.171" Properties=species:S:1:pos:R:3 pbc="T T T"
W 1.708 2.586 2.586
N 1.708 0.000 0.000
Mn 0.000 0.000 0.000
I 0.000 0.000 2.586
I 0.000 2.586 0.000
```